*A*
Computed, not measured: CsTbFeSe3 after structural relaxation at the PBE level of DFT.

## Properties
**Space group**: Pnma (62)

Geometry as extended XYZ:
```
24
Lattice="16.4594 0.0000 0.0000 0.0000 4.1424 0.0000 0.0000 0.0000 11.0874" Properties=species:S:1:pos:R:3 pbc="T T T"
Cs 3.8930 1.0356 0.2473
Cs 4.3366 3.1068 5.7910
Cs 12.1227 1.0356 5.2964
Cs 12.5663 3.1068 10.8402
Tb 0.2641 1.0356 3.8231
Tb 7.9656 3.1068 9.3669
Tb 8.4938 1.0356 1.7206
Tb 16.1953 3.1068 7.2643
Fe 0.1683 3.1068 0.9287
Fe 8.0614 1.0356 6.4724
Fe 8.3980 3.1068 4.6150
Fe 16.2910 1.0356 10.1588
Se 1.2408 3.1068 9.8006
Se 1.4969 1.0356 6.3655
Se 1.9145 3.1068 2.6247
Se 6.3152 1.0356 8.1685
Se 6.7328 3.1068 0.8218
Se 6.9889 1.0356 4.2569
Se 9.4705 3.1068 6.8306
Se 9.7266 1.0356 10.2657
Se 10.1442 3.1068 2.9190
Se 14.5449 1.0356 8.4627
Se 14.9625 3.1068 4.7219
Se 15.2186 1.0356 1.2868
```

=====

*B*
Computed, not measured: CsTbFeSe3 after structural relaxation at the PBE level of DFT.

## Properties
**Space group**: C2/m (12)

Geometry as extended XYZ:
```
12
Lattice="8.7085 -2.1688 0.0000 8.7085 2.1688 0.0000 -1.8439 0.0000 9.1534" Properties=species:S:1:pos:R:3 pbc="T T T"
Cs 2.5780 0.0000 0.5527
Cs 12.9953 0.0000 8.6007
Tb 1.8007 0.0000 5.2077
Tb 13.7725 0.0000 3.9457
Fe 8.1878 0.0000 2.4692
Fe 7.3854 0.0000 6.6842
Se -0.9219 0.0000 4.5767
Se 4.6757 0.0000 5.8512
Se 5.7131 0.0000 2.1958
Se 8.7085 0.0000 0.0000
Se 9.8601 0.0000 6.9576
Se 10.8975 0.0000 3.3022
```

=====

Compare the structures above. Which one is the least stable? *B* is.